! PBE with a Hubbard U Mg30MnCdO32, relaxed; values from VASP
! - Space-group type: P4/mmm
! - Energy: -5.96 eV per atom
&SYSTEM
  ibrav = 0, nat = 64, ntyp = 4
/
ATOMIC_SPECIES
Mg 24.30 Mg.upf
Mn 54.94 Mn.upf
Cd 112.41 Cd.upf
O 16.00 O.upf
ATOMIC_POSITIONS crystal
Mg 0.500 0.000 0.000
Mg 0.000 0.500 0.000
Mg 0.000 0.000 0.500
Mg 0.500 0.000 0.500
Mg 0.000 0.500 0.500
Mg 0.500 0.500 0.500
Mg 0.249 0.249 0.000
Mg 0.751 0.249 0.000
Mg 0.249 0.751 0.000
Mg 0.751 0.751 0.000
Mg 0.250 0.250 0.500
Mg 0.750 0.250 0.500
Mg 0.250 0.750 0.500
Mg 0.750 0.750 0.500
Mg 0.251 0.000 0.251
Mg 0.749 0.000 0.251
Mg 0.248 0.500 0.252
Mg 0.752 0.500 0.252
Mg 0.251 0.000 0.749
Mg 0.749 0.000 0.749
Mg 0.248 0.500 0.748
Mg 0.752 0.500 0.748
Mg 0.000 0.251 0.251
Mg 0.500 0.248 0.252
Mg 0.000 0.749 0.251
Mg 0.500 0.752 0.252
Mg 0.000 0.251 0.749
Mg 0.500 0.248 0.748
Mg 0.000 0.749 0.749
Mg 0.500 0.752 0.748
Mn 0.000 0.000 0.000
Cd 0.500 0.500 0.000
O 0.000 0.000 0.257
O 0.500 0.000 0.253
O 0.000 0.500 0.253
O 0.500 0.500 0.264
O 0.000 0.000 0.743
O 0.500 0.000 0.747
O 0.000 0.500 0.747
O 0.500 0.500 0.736
O 0.250 0.250 0.249
O 0.750 0.250 0.249
O 0.250 0.750 0.249
O 0.750 0.750 0.249
O 0.250 0.250 0.751
O 0.750 0.250 0.751
O 0.250 0.750 0.751
O 0.750 0.750 0.751
O 0.254 0.000 0.000
O 0.746 0.000 0.000
O 0.237 0.500 0.000
O 0.763 0.500 0.000
O 0.250 0.000 0.500
O 0.750 0.000 0.500
O 0.248 0.500 0.500
O 0.752 0.500 0.500
O 0.000 0.254 0.000
O 0.500 0.237 0.000
O 0.000 0.746 0.000
O 0.500 0.763 0.000
O 0.000 0.250 0.500
O 0.500 0.248 0.500
O 0.000 0.750 0.500
O 0.500 0.752 0.500
CELL_PARAMETERS angstrom
-2.536 -2.939 7.643
-0.811 -7.871 -3.296
8.153 -1.699 2.052